Entry 1:
SrMnP2: relaxed, PBE.

a = 7.209 Å, b = 7.209 Å, c = 7.209 Å
α = 153.99°, β = 151.70°, γ = 38.81°
Last column: magnetic moment on the atom in μB.
Positions (direct):
Mn1 0.203 0.703 0.500  2.59
P1 0.081 0.081 0.000  -0.09
P2 0.765 0.265 0.500  -0.12
Sr1 0.450 0.450 0.000  0.01

- Total magnetic moment: 0.613 μB/atom
- Energy above the most stable polymorph in this dataset: 275 meV per atom
- Calculated density: 4.37 g/cm3
- Raw total energy: -0.211 Ha/atom
- DFT formation energy: -326 meV/atom



Entry 2:
SrMnP2: relaxed, PBE.

a = 3.124 Å, b = 3.124 Å, c = 6.842 Å
α = 90.00°, β = 90.00°, γ = 90.00°
Last column: magnetic moment on the atom in μB.
Positions (direct):
Mn1 0.500 0.500 0.750  1.42
P1 0.000 0.000 0.927  -0.06
P2 0.000 0.000 0.573  -0.06
Sr1 0.500 0.500 0.250  -0.03

- Total magnetic moment: 0.288 μB/atom
- Energy above the most stable polymorph in this dataset: 358 meV per atom
- Calculated density: 5.09 g/cm3
- Raw total energy: -0.208 Ha/atom
- DFT formation energy: -244 meV/atom



Entry 3:
Sr2MnP: relaxed, PBE.

a = 6.355 Å, b = 6.355 Å, c = 6.355 Å
α = 138.77°, β = 138.77°, γ = 59.73°
Last column: magnetic moment on the atom in μB.
Positions (direct):
Sr1 0.000 0.000 0.000  -0.07
Sr2 0.250 0.750 0.500  -0.05
Mn1 0.500 0.500 0.000  3.97
P1 0.750 0.250 0.500  0.02

- Total magnetic moment: 0.970 μB/atom
- Calculated density: 3.93 g/cm3
- Raw total energy: -0.164 Ha/atom
- DFT formation energy: 34 meV/atom



Entry 4:
SrMn2P: relaxed, PBE.

a = 5.685 Å, b = 5.685 Å, c = 5.685 Å
α = 136.98°, β = 136.98°, γ = 62.47°
Last column: magnetic moment on the atom in μB.
Positions (direct):
Mn1 0.000 0.000 0.000  3.84
Mn2 0.500 0.500 0.000  3.84
P1 0.250 0.750 0.500  0.01
Sr1 0.750 0.250 0.500  0.00

- Total magnetic moment: 2.046 μB/atom
- Calculated density: 4.49 g/cm3
- Raw total energy: -0.219 Ha/atom
- DFT formation energy: 393 meV/atom



Entry 5:
SrMn4P2: relaxed, PBE.

a = 3.798 Å, b = 3.834 Å, c = 7.432 Å
α = 104.95°, β = 90.00°, γ = 90.00°
Last column: magnetic moment on the atom in μB.
Positions (direct):
Sr1 0.000 0.000 0.000  0.00
Mn1 0.500 0.801 0.602  0.67
Mn2 0.000 0.704 0.408  -0.30
Mn3 0.500 0.199 0.398  0.67
Mn4 0.000 0.296 0.592  -0.30
P1 0.500 0.613 0.226  0.00
P2 0.500 0.387 0.774  0.00

- Total magnetic moment: 0.109 μB/atom
- Calculated density: 5.87 g/cm3
- Raw total energy: -0.277 Ha/atom
- DFT formation energy: -514 meV/atom



Entry 6:
SrMnP2: relaxed, PBE.

a = 3.870 Å, b = 3.870 Å, c = 6.153 Å
α = 89.99°, β = 89.99°, γ = 60.01°
Last column: magnetic moment on the atom in μB.
Positions (direct):
Mn1 0.208 0.208 0.000  2.98
P1 0.875 0.875 0.178  -0.05
P2 0.875 0.875 0.822  -0.05
Sr1 0.542 0.542 0.500  -0.06

- Total magnetic moment: 0.695 μB/atom
- Energy above the most stable polymorph in this dataset: 15 meV per atom
- Calculated density: 4.25 g/cm3
- Raw total energy: -0.221 Ha/atom
- DFT formation energy: -587 meV/atom



Entry 7:
SrMnP2: relaxed, PBE.

a = 3.658 Å, b = 3.658 Å, c = 6.597 Å
α = 90.00°, β = 90.00°, γ = 109.32°
Last column: magnetic moment on the atom in μB.
Positions (direct):
Mn1 0.500 0.500 0.750  3.52
P1 0.000 0.000 0.932  -0.03
P2 0.000 0.000 0.568  -0.03
Sr1 0.500 0.500 0.250  0.00

- Total magnetic moment: 0.932 μB/atom
- Energy above the most stable polymorph in this dataset: 336 meV per atom
- Calculated density: 4.08 g/cm3
- Raw total energy: -0.209 Ha/atom
- DFT formation energy: -265 meV/atom



Entry 8:
SrMn2P: relaxed, PBE.

a = 4.781 Å, b = 4.781 Å, c = 8.806 Å
α = 74.25°, β = 74.25°, γ = 90.00°
Last column: magnetic moment on the atom in μB.
Positions (direct):
Sr1 0.000 0.000 0.000  -0.03
Sr2 0.750 0.250 0.500  -0.03
Mn1 0.375 0.125 0.250  2.92
Mn2 0.375 0.625 0.250  2.93
Mn3 0.375 0.625 0.750  3.06
Mn4 0.875 0.625 0.750  3.07
P1 0.500 0.500 0.000  -0.06
P2 0.250 0.750 0.500  -0.06

- Total magnetic moment: 1.547 μB/atom
- Calculated density: 4.08 g/cm3
- Raw total energy: -0.232 Ha/atom
- DFT formation energy: 50 meV/atom



Entry 9:
SrMn2P: relaxed, PBE.

a = 3.747 Å, b = 3.748 Å, c = 5.881 Å
α = 90.03°, β = 90.00°, γ = 90.00°
Last column: magnetic moment on the atom in μB.
Positions (direct):
Mn1 0.000 0.875 0.192  2.70
Mn2 0.500 0.375 0.192  2.70
P1 0.000 0.375 0.416  -0.09
Sr1 0.500 0.875 0.700  -0.03

- Total magnetic moment: 1.353 μB/atom
- Calculated density: 4.59 g/cm3
- Raw total energy: -0.237 Ha/atom
- DFT formation energy: -98 meV/atom



Entry 10:
Sr2MnP: relaxed, PBE.

a = 8.478 Å, b = 8.478 Å, c = 8.478 Å
α = 30.34°, β = 30.34°, γ = 30.34°
Last column: magnetic moment on the atom in μB.
Positions (direct):
Sr1 0.731 0.731 0.731  -0.02
Sr2 0.269 0.269 0.269  -0.02
Mn1 0.500 0.500 0.500  4.13
P1 0.000 0.000 0.000  0.03

- Total magnetic moment: 1.035 μB/atom
- Calculated density: 3.15 g/cm3
- Raw total energy: -0.167 Ha/atom
- DFT formation energy: -66 meV/atom



Entry 11:
SrMn3P: relaxed, PBE.

a = 4.609 Å, b = 4.609 Å, c = 4.609 Å
α = 90.00°, β = 90.00°, γ = 90.00°
Last column: magnetic moment on the atom in μB.
Positions (direct):
Sr1 0.500 0.500 0.500  -0.09
Mn1 0.000 0.500 0.000  3.41
Mn2 0.000 0.000 0.500  3.23
Mn3 0.500 0.000 0.000  3.35
P1 0.000 0.000 0.000  -0.09

- Total magnetic moment: 1.968 μB/atom
- Energy above the most stable polymorph in this dataset: 0 meV per atom
- Calculated density: 4.81 g/cm3
- Raw total energy: -0.247 Ha/atom
- DFT formation energy: 187 meV/atom



Entry 12:
SrMnP2: relaxed, PBE.

a = 4.966 Å, b = 4.966 Å, c = 7.873 Å
α = 71.62°, β = 71.62°, γ = 90.00°
Last column: magnetic moment on the atom in μB.
Positions (direct):
Sr1 0.000 0.000 0.000  0.01
Sr2 0.750 0.250 0.500  0.01
Mn1 0.500 0.500 0.000  0.98
Mn2 0.250 0.750 0.500  0.98
P1 0.375 0.125 0.250  -0.01
P2 0.375 0.625 0.250  -0.01
P3 0.375 0.625 0.750  -0.03
P4 0.875 0.625 0.750  -0.03

- Total magnetic moment: 0.253 μB/atom
- Energy above the most stable polymorph in this dataset: 50 meV per atom
- Calculated density: 3.91 g/cm3
- Raw total energy: -0.219 Ha/atom
- DFT formation energy: -552 meV/atom